! Mn2MoOs2 (GGA-PBE, optimized geometry); values from VASP
&SYSTEM
  ibrav = 0, nat = 10, ntyp = 3
/
ATOMIC_SPECIES
Mn 54.94 Mn.upf
Os 190.23 Os.upf
Mo 95.94 Mo.upf
CELL_PARAMETERS angstrom
-1.6295 -3.1787 6.0756
2.4395 -6.1049 -2.5397
2.4697 0.5842 0.9680
ATOMIC_POSITIONS angstrom
Mn 1.5263 -6.5656 0.0682
Mn -0.7162 -2.7180 3.4677
Mn 0.7251 -2.6967 -0.2225
Mn 0.0850 -6.5869 3.7583
Os 2.1574 -6.8972 2.4689
Os 1.1223 -1.8022 2.0350
Os 2.5944 -4.3625 -0.1756
Os 0.6854 -4.3369 4.6795
Mo 0.4050 -4.6418 1.7679
Mo 0.0000 0.0000 0.0000
! - D(E_F): 8.18 states/eV/cell
! - Energy relative to the lowest polymorph listed for this composition: 0.0 meV/atom
! - Crystal system: tetragonal

---

! Mn2MoOs (GGA-PBE, optimized geometry); values from VASP
&SYSTEM
  ibrav = 0, nat = 4, ntyp = 3
/
ATOMIC_SPECIES
Mo 95.94 Mo.upf
Mn 54.94 Mn.upf
Os 190.23 Os.upf
CELL_PARAMETERS angstrom
-1.8720 1.8015 1.6306
-2.3720 -1.8016 -0.7328
1.0002 -3.2397 4.7276
ATOMIC_POSITIONS angstrom
Mo -1.8720 -0.8099 1.6308
Mn 0.4972 -1.6104 2.3500
Mn 0.0029 -0.0094 0.0138
Os -1.3719 -2.4298 3.9946
! - D(E_F): 3.82 states/eV/cell
! - Energy: -9.96 eV/atom
! - Crystal system: tetragonal

---

! MnMo2Os6 (GGA-PBE, optimized geometry); values from VASP
&SYSTEM
  ibrav = 0, nat = 18, ntyp = 3
/
ATOMIC_SPECIES
Os 190.23 Os.upf
Mo 95.94 Mo.upf
Mn 54.94 Mn.upf
CELL_PARAMETERS angstrom
5.1454 0.0248 0.7563
0.8525 7.1084 2.2420
0.1147 0.6450 7.4735
ATOMIC_POSITIONS angstrom
Os 1.4938 3.3917 8.2637
Os 4.0464 2.5010 8.5549
Os 3.1755 4.9409 4.4594
Os 2.9371 2.8374 6.0125
Os 2.0663 5.2772 1.9170
Os 1.6182 0.6257 4.8640
Os 0.5963 4.8558 3.9905
Os 4.0968 0.5401 6.1394
Os 5.5164 2.9224 6.4813
Os 2.0158 7.2381 4.3325
Os 4.6188 4.3866 2.2081
Os 4.4944 7.1525 5.6079
Mo 3.6676 5.1337 7.2109
Mo 4.9788 2.3162 3.9148
Mo 1.1338 5.4620 6.5570
Mo 2.4450 2.6445 3.2609
Mn 4.6513 6.5990 3.2366
Mn 1.4614 1.1793 7.2352
! - D(E_F): 13.14 states/eV/cell
! - Energy: -10.67 eV/atom
! - Crystal system: monoclinic

---

! MnMoOs2 (GGA-PBE, optimized geometry); values from VASP
&SYSTEM
  ibrav = 0, nat = 4, ntyp = 3
/
ATOMIC_SPECIES
Mn 54.94 Mn.upf
Os 190.23 Os.upf
Mo 95.94 Mo.upf
CELL_PARAMETERS angstrom
0.0000 3.0793 3.0793
3.0793 0.0000 3.0793
3.0793 3.0793 0.0000
ATOMIC_POSITIONS angstrom
Mn 0.0000 0.0000 0.0000
Os 4.6190 4.6190 4.6190
Os 1.5397 1.5397 1.5397
Mo 3.0793 3.0793 3.0793
! - D(E_F): 3.15 states/eV/cell
! - Energy relative to the lowest polymorph listed for this composition: 122.9 meV/atom
! - Crystal system: cubic

---

! Mn2MoOsPb (GGA-PBE, optimized geometry); values from VASP
&SYSTEM
  ibrav = 0, nat = 5, ntyp = 4
/
ATOMIC_SPECIES
Mn 54.94 Mn.upf
Os 190.23 Os.upf
Pb 207.20 Pb.upf
Mo 95.94 Mo.upf
CELL_PARAMETERS angstrom
-0.9130 -1.7715 4.4347
4.4101 -1.8956 0.1507
1.6947 4.1009 1.9870
ATOMIC_POSITIONS angstrom
Mn -0.4565 -0.8857 2.2173
Mn 0.8474 2.0504 0.9935
Os 2.2051 -0.9478 0.0754
Pb 2.5960 0.2169 3.2862
Mo 0.0000 0.0000 0.0000
! - D(E_F): 4.39 states/eV/cell
! - Energy: -7.49 eV/atom
! - Crystal system: tetragonal

---

! MnMoOsPt (GGA-PBE, optimized geometry); values from VASP
&SYSTEM
  ibrav = 0, nat = 8, ntyp = 4
/
ATOMIC_SPECIES
Mo 95.94 Mo.upf
Pt 195.08 Pt.upf
Os 190.23 Os.upf
Mn 54.94 Mn.upf
CELL_PARAMETERS angstrom
-4.1494 -1.8665 1.5486
-0.4314 -1.0884 -2.4678
8.4696 -5.4053 0.9033
ATOMIC_POSITIONS angstrom
Mo 0.0925 -1.2753 0.5463
Mo 4.1115 -4.5221 -0.2359
Pt 2.2311 -4.9078 1.7745
Pt -2.2194 -2.7493 0.0889
Os 2.5296 -2.4786 0.6509
Os 6.5487 -5.7254 -0.1313
Mn 4.6762 -6.0902 1.8685
Mn 0.2257 -3.9318 0.1830
! - D(E_F): 7.54 states/eV/cell
! - Energy relative to the lowest polymorph listed for this composition: 49.9 meV/atom
! - Crystal system: monoclinic

---

! MnMoOsPt (GGA-PBE, optimized geometry); values from VASP
&SYSTEM
  ibrav = 0, nat = 8, ntyp = 4
/
ATOMIC_SPECIES
Pt 195.08 Pt.upf
Mn 54.94 Mn.upf
Os 190.23 Os.upf
Mo 95.94 Mo.upf
CELL_PARAMETERS angstrom
4.7952 0.0000 0.0619
0.0000 2.7309 0.0000
-1.5644 0.0000 8.9251
ATOMIC_POSITIONS angstrom
Pt 2.4025 0.0000 3.2245
Pt 1.6203 1.3654 7.6871
Mn 3.8793 0.0000 1.0112
Mn 3.0970 1.3654 5.4738
Os 0.6942 0.0000 5.4757
Os 1.4764 1.3654 1.0131
Mo -0.7925 0.0000 7.6686
Mo -0.0103 1.3654 3.2060
! - D(E_F): 9.12 states/eV/cell
! - Energy relative to the lowest polymorph listed for this composition: 55.6 meV/atom
! - Crystal system: monoclinic

---

! MnMoOsPt (GGA-PBE, optimized geometry); values from VASP
&SYSTEM
  ibrav = 0, nat = 4, ntyp = 4
/
ATOMIC_SPECIES
Os 190.23 Os.upf
Mo 95.94 Mo.upf
Mn 54.94 Mn.upf
Pt 195.08 Pt.upf
CELL_PARAMETERS angstrom
-2.3268 4.0687 0.0503
-0.2029 -0.0819 -2.7586
-3.1319 -3.5452 0.3356
ATOMIC_POSITIONS angstrom
Os -1.3269 0.0264 -1.2912
Mo -2.3893 2.1015 0.1133
Mn -2.7914 -1.7056 0.2559
Pt -4.0564 0.2878 -1.0983
! - D(E_F): 4.39 states/eV/cell
! - Energy relative to the lowest polymorph listed for this composition: 9.1 meV/atom
! - Crystal system: monoclinic

---

! MnMoOsPt (GGA-PBE, optimized geometry); values from VASP
&SYSTEM
  ibrav = 0, nat = 8, ntyp = 4
/
ATOMIC_SPECIES
Mo 95.94 Mo.upf
Os 190.23 Os.upf
Mn 54.94 Mn.upf
Pt 195.08 Pt.upf
CELL_PARAMETERS angstrom
-4.2517 1.6251 -1.4200
-1.1291 -2.4400 0.5883
2.5288 1.1477 9.6133
ATOMIC_POSITIONS angstrom
Mo -2.2906 1.5053 8.2845
Mo -2.9904 2.1514 3.1837
Os 0.3864 1.9340 8.7629
Os -1.4425 0.1402 4.2504
Mn -3.8380 0.5028 1.1569
Mn -2.0091 2.2966 5.6694
Pt -0.4324 0.2764 6.7540
Pt -1.1322 0.9225 1.6532
! - D(E_F): 8.38 states/eV/cell
! - Energy relative to the lowest polymorph listed for this composition: 39.2 meV/atom
! - Crystal system: monoclinic

---

! MnMoOsPt (GGA-PBE, optimized geometry); values from VASP
&SYSTEM
  ibrav = 0, nat = 4, ntyp = 4
/
ATOMIC_SPECIES
Mn 54.94 Mn.upf
Os 190.23 Os.upf
Pt 195.08 Pt.upf
Mo 95.94 Mo.upf
CELL_PARAMETERS angstrom
-1.5782 -2.7836 2.9612
-1.3587 -1.3426 -1.9863
3.7557 -2.8285 -0.6572
ATOMIC_POSITIONS angstrom
Mn 1.8599 -3.3868 1.0171
Os 2.5182 -3.0795 -1.5526
Pt -0.7157 -2.6301 0.3557
Mo 1.4078 -1.0602 -0.2463
! - D(E_F): 3.82 states/eV/cell
! - Energy relative to the lowest polymorph listed for this composition: 0.0 meV/atom
! - Crystal system: orthorhombic

---

! MnMoOsPt (GGA-PBE, optimized geometry); values from VASP
&SYSTEM
  ibrav = 0, nat = 8, ntyp = 4
/
ATOMIC_SPECIES
Os 190.23 Os.upf
Mo 95.94 Mo.upf
Mn 54.94 Mn.upf
Pt 195.08 Pt.upf
CELL_PARAMETERS angstrom
-4.0289 -1.5570 2.0467
1.4601 -1.5097 1.7256
1.5679 7.3412 5.0959
ATOMIC_POSITIONS angstrom
Os 1.1233 2.8316 3.6676
Os -0.3907 -0.0842 0.2569
Mo -0.2534 0.6600 2.9327
Mo -0.1995 5.0854 4.6178
Mn -1.5216 3.5690 6.5506
Mn -3.0356 0.6532 3.1399
Pt -1.7100 -1.5736 2.2111
Pt -1.6561 2.8518 3.8962
! - D(E_F): 8.15 states/eV/cell
! - Energy relative to the lowest polymorph listed for this composition: 75.0 meV/atom
! - Crystal system: monoclinic

---

! MnMoOsPt (GGA-PBE, optimized geometry); values from VASP
&SYSTEM
  ibrav = 0, nat = 8, ntyp = 4
/
ATOMIC_SPECIES
Os 190.23 Os.upf
Pt 195.08 Pt.upf
Mo 95.94 Mo.upf
Mn 54.94 Mn.upf
CELL_PARAMETERS angstrom
4.1881 0.0000 0.0000
0.0000 2.7113 0.0000
0.0000 0.0000 10.1941
ATOMIC_POSITIONS angstrom
Os 0.0000 0.0000 1.6747
Os 0.0000 1.3557 6.7718
Pt 2.0941 1.3557 2.9422
Pt 2.0941 0.0000 8.0392
Mo 0.0000 0.0000 4.4179
Mo 0.0000 1.3557 9.5150
Mn 2.0941 1.3557 5.5836
Mn 2.0941 0.0000 0.4865
! - D(E_F): 6.85 states/eV/cell
! - Energy relative to the lowest polymorph listed for this composition: 141.7 meV/atom
! - Crystal system: orthorhombic

---

! MnReMoOs (GGA-PBE, optimized geometry); values from VASP
&SYSTEM
  ibrav = 0, nat = 4, ntyp = 4
/
ATOMIC_SPECIES
Mn 54.94 Mn.upf
Os 190.23 Os.upf
Re 186.21 Re.upf
Mo 95.94 Mo.upf
CELL_PARAMETERS angstrom
4.3576 0.0000 0.0000
2.1788 3.7738 0.0000
2.1788 1.2579 3.5580
ATOMIC_POSITIONS angstrom
Mn 6.5365 3.7738 2.6685
Os 4.3576 2.5159 1.7790
Re 2.1788 1.2579 0.8895
Mo 0.0000 0.0000 0.0000
! - D(E_F): 2.87 states/eV/cell
! - Energy: -10.78 eV/atom
! - Crystal system: cubic

---

! MnMoOsRh (GGA-PBE, optimized geometry); values from VASP
&SYSTEM
  ibrav = 0, nat = 4, ntyp = 4
/
ATOMIC_SPECIES
Rh 102.91 Rh.upf
Mo 95.94 Mo.upf
Os 190.23 Os.upf
Mn 54.94 Mn.upf
CELL_PARAMETERS angstrom
-2.2533 3.6671 -0.6527
-3.9728 -0.1725 -1.7714
-3.5066 0.8620 2.4314
ATOMIC_POSITIONS angstrom
Rh -4.8664 2.1783 0.0036
Mo 0.0000 0.0000 0.0000
Os -7.2995 3.2674 0.0054
Mn -2.4332 1.0891 0.0018
! - D(E_F): 4.91 states/eV/cell
! - Energy: -9.45 eV/atom
! - Crystal system: cubic

---

! ScMnMoOs (GGA-PBE, optimized geometry); values from VASP
&SYSTEM
  ibrav = 0, nat = 4, ntyp = 4
/
ATOMIC_SPECIES
Sc 44.96 Sc.upf
Mn 54.94 Mn.upf
Os 190.23 Os.upf
Mo 95.94 Mo.upf
CELL_PARAMETERS angstrom
-2.9009 0.3002 3.2857
0.5942 -2.3331 3.6749
1.1130 2.0290 3.7343
ATOMIC_POSITIONS angstrom
Sc 0.0000 0.0000 0.0000
Mn -0.8952 -0.0029 8.0212
Os -0.2984 -0.0010 2.6737
Mo -0.5968 -0.0019 5.3475
! - D(E_F): 2.08 states/eV/cell
! - Energy: -9.50 eV/atom
! - Crystal system: cubic

---

! MnTcMoOs (GGA-PBE, optimized geometry); values from VASP
&SYSTEM
  ibrav = 0, nat = 4, ntyp = 4
/
ATOMIC_SPECIES
Mo 95.94 Mo.upf
Tc 98.00 Tc.upf
Mn 54.94 Mn.upf
Os 190.23 Os.upf
CELL_PARAMETERS angstrom
4.3518 0.0000 0.0000
2.1759 3.7688 0.0000
2.1759 1.2563 3.5533
ATOMIC_POSITIONS angstrom
Mo 0.0000 0.0000 0.0000
Tc 2.1759 1.2563 0.8883
Mn 4.3518 2.5125 1.7766
Os 6.5278 3.7688 2.6649
! - D(E_F): 2.48 states/eV/cell
! - Energy: -10.33 eV/atom
! - Crystal system: cubic

---

! TiMnMoOs (GGA-PBE, optimized geometry); values from VASP
&SYSTEM
  ibrav = 0, nat = 4, ntyp = 4
/
ATOMIC_SPECIES
Mn 54.94 Mn.upf
Mo 95.94 Mo.upf
Ti 47.87 Ti.upf
Os 190.23 Os.upf
CELL_PARAMETERS angstrom
4.3177 0.0000 0.0000
2.1588 3.7392 0.0000
2.1588 1.2464 3.5254
ATOMIC_POSITIONS angstrom
Mn 4.3177 2.4928 1.7627
Mo 2.1588 1.2464 0.8813
Ti 6.4765 3.7392 2.6440
Os 0.0000 0.0000 0.0000
! - D(E_F): 3.23 states/eV/cell
! - Energy: -9.98 eV/atom
! - Crystal system: cubic

---

! MnMoP4 (GGA-PBE, optimized geometry); values from VASP
&SYSTEM
  ibrav = 0, nat = 6, ntyp = 3
/
ATOMIC_SPECIES
P 30.97 P.upf
Mo 95.94 Mo.upf
Mn 54.94 Mn.upf
CELL_PARAMETERS angstrom
0.0000 3.4771 3.4771
3.4771 0.0000 3.4771
3.4771 3.4771 0.0000
ATOMIC_POSITIONS angstrom
P 2.6053 4.3488 4.3488
P 2.6053 2.6053 2.6053
P 4.3488 2.6053 4.3488
P 4.3488 4.3488 2.6053
Mo 0.0000 0.0000 0.0000
Mn 5.2156 5.2156 5.2156
! - D(E_F): 3.99 states/eV/cell
! - Energy relative to the lowest polymorph listed for this composition: 859.5 meV/atom
! - Crystal system: cubic

---

! MnMoP4 (GGA-PBE, optimized geometry); values from VASP
&SYSTEM
  ibrav = 0, nat = 12, ntyp = 3
/
ATOMIC_SPECIES
P 30.97 P.upf
Mo 95.94 Mo.upf
Mn 54.94 Mn.upf
CELL_PARAMETERS angstrom
6.3968 0.0000 0.0000
0.0000 5.5989 -0.0208
0.0000 0.0216 5.4427
ATOMIC_POSITIONS angstrom
P 4.8109 1.9614 4.7645
P 1.4026 4.7826 3.3027
P 4.9941 0.8379 2.1193
P 1.5858 3.6591 0.6574
P 1.5858 1.9506 2.0431
P 4.9941 4.7718 0.5813
P 4.8109 3.6699 3.3788
P 1.4026 0.8487 4.8406
Mo 3.8695 2.8048 1.3503
Mo 2.5273 2.8156 4.0716
Mn 0.6380 0.0054 1.3607
Mn 5.7587 0.0162 4.0820
! - D(E_F): 7.70 states/eV/cell
! - Energy relative to the lowest polymorph listed for this composition: 0.0 meV/atom
! - Crystal system: monoclinic

---

! Mn2MoP2 (GGA-PBE, optimized geometry); values from VASP
&SYSTEM
  ibrav = 0, nat = 10, ntyp = 3
/
ATOMIC_SPECIES
P 30.97 P.upf
Mo 95.94 Mo.upf
Mn 54.94 Mn.upf
CELL_PARAMETERS angstrom
6.6274 0.0000 0.0000
0.0000 6.6274 0.0000
0.0000 0.0000 2.7408
ATOMIC_POSITIONS angstrom
P 5.6067 4.3345 0.0000
P 4.3345 1.0208 0.0000
P 2.2930 5.6067 0.0000
P 1.0208 2.2930 0.0000
Mo 0.0000 0.0000 0.0000
Mo 3.3137 3.3137 0.0000
Mn 2.3837 0.9300 1.3704
Mn 0.9300 4.2437 1.3704
Mn 4.2437 5.6975 1.3704
Mn 5.6975 2.3837 1.3704
! - D(E_F): 8.34 states/eV/cell
! - Energy: -8.31 eV/atom
! - Crystal system: tetragonal

---

! MnMoP2 (GGA-PBE, optimized geometry); values from VASP
&SYSTEM
  ibrav = 0, nat = 4, ntyp = 3
/
ATOMIC_SPECIES
P 30.97 P.upf
Mo 95.94 Mo.upf
Mn 54.94 Mn.upf
CELL_PARAMETERS angstrom
2.7960 0.0000 0.0000
0.0000 2.7960 0.0000
0.0000 0.0000 7.5885
ATOMIC_POSITIONS angstrom
P 0.0000 0.0000 7.2281
P 1.3980 1.3980 2.5384
Mo 1.3980 1.3980 5.4762
Mn 0.0000 0.0000 3.7286
! - D(E_F): 2.55 states/eV/cell
! - Energy: -7.73 eV/atom
! - Crystal system: tetragonal

---

! MnMoP2 (GGA-PBE, optimized geometry); values from VASP
&SYSTEM
  ibrav = 0, nat = 4, ntyp = 3
/
ATOMIC_SPECIES
Mn 54.94 Mn.upf
Mo 95.94 Mo.upf
P 30.97 P.upf
CELL_PARAMETERS angstrom
4.2361 0.0000 0.0000
2.1181 3.6686 0.0000
2.1181 1.2229 3.4588
ATOMIC_POSITIONS angstrom
Mn 4.2361 2.4457 1.7294
Mo 6.3542 3.6686 2.5941
P 2.1181 1.2229 0.8647
P 0.0000 0.0000 0.0000
! - D(E_F): 3.35 states/eV/cell
! - Energy: -7.46 eV/atom
! - Crystal system: cubic

---

! MnMoP2 (GGA-PBE, optimized geometry); values from VASP
&SYSTEM
  ibrav = 0, nat = 4, ntyp = 3
/
ATOMIC_SPECIES
P 30.97 P.upf
Mo 95.94 Mo.upf
Mn 54.94 Mn.upf
CELL_PARAMETERS angstrom
1.9155 -1.2698 3.4264
-2.1526 -1.8190 3.0131
0.4709 -4.0340 0.7257
ATOMIC_POSITIONS angstrom
P 0.0585 -1.7807 1.7913
P 0.1754 -5.3421 5.3739
Mo 0.1169 -3.5614 3.5826
Mn 0.0000 0.0000 0.0000
! - D(E_F): 2.30 states/eV/cell
! - Energy: -7.97 eV/atom
! - Crystal system: cubic

---

! MnMo3P (GGA-PBE, optimized geometry); values from VASP
&SYSTEM
  ibrav = 0, nat = 5, ntyp = 3
/
ATOMIC_SPECIES
Mo 95.94 Mo.upf
Mn 54.94 Mn.upf
P 30.97 P.upf
CELL_PARAMETERS angstrom
4.4464 0.0000 0.0000
0.0000 4.4464 0.0000
0.0000 0.0000 4.4464
ATOMIC_POSITIONS angstrom
Mo 0.0000 0.0000 2.2232
Mo 0.0000 2.2232 0.0000
Mo 2.2232 0.0000 0.0000
Mn 0.0000 0.0000 0.0000
P 2.2232 2.2232 2.2232
! - D(E_F): 7.07 states/eV/cell
! - Energy relative to the lowest polymorph listed for this composition: 353.2 meV/atom
! - Crystal system: cubic

---

! Mn6Mo6P7 (GGA-PBE, optimized geometry); values from VASP
&SYSTEM
  ibrav = 0, nat = 19, ntyp = 3
/
ATOMIC_SPECIES
P 30.97 P.upf
Mo 95.94 Mo.upf
Mn 54.94 Mn.upf
CELL_PARAMETERS angstrom
9.3817 0.0000 0.0000
-4.6908 8.1248 0.0000
0.0000 0.0000 3.3079
ATOMIC_POSITIONS angstrom
P 1.3156 6.8331 1.6539
P -1.8846 5.8475 1.6539
P 0.5690 3.5689 1.6539
P 4.0673 4.6255 0.0000
P 6.6630 2.2896 0.0000
P 0.0000 0.0000 0.0000
P 3.3422 1.2096 0.0000
Mo -1.1527 4.1342 0.0000
Mo 3.0425 2.9545 1.6539
Mo -0.5341 7.0560 0.0000
Mo 5.3017 1.1576 1.6539
Mo 1.6869 5.0594 0.0000
Mo 5.7283 4.0126 1.6539
Mn 8.3911 1.5365 1.6539
Mn 2.3399 7.9966 0.0000
Mn 3.8555 6.4986 1.6539
Mn 1.8259 0.0896 1.6539
Mn -3.4044 6.1528 0.0000
Mn 1.0645 2.1001 0.0000
! - D(E_F): 13.63 states/eV/cell
! - Energy: -8.81 eV/atom
! - Crystal system: hexagonal

---

! MnMoP2 (GGA-PBE, optimized geometry); values from VASP
&SYSTEM
  ibrav = 0, nat = 4, ntyp = 3
/
ATOMIC_SPECIES
Mn 54.94 Mn.upf
Mo 95.94 Mo.upf
P 30.97 P.upf
CELL_PARAMETERS angstrom
4.3127 0.0000 0.0000
0.0000 2.9065 -0.0013
0.0000 0.0016 4.0974
ATOMIC_POSITIONS angstrom
Mn 0.0000 1.0910 2.0035
Mo 2.1563 2.5444 3.0291
P 2.1563 1.0900 1.0095
P 0.0000 2.5432 0.1009
! - D(E_F): 2.67 states/eV/cell
! - Energy: -7.96 eV/atom
! - Crystal system: orthorhombic